La5Bi2Os | PBE | relaxed

Cell lengths 13.074, 9.345, 8.481 Å; angles 90.00, 90.00, 90.00 degrees
Space group Pnma (No. 62)
One atom of each set of equivalent atoms:
1 La 0.005 0.250 0.054 (multiplicity 4)
2 La 0.062 0.539 0.318 (multiplicity 8)
3 La 0.195 0.250 0.615 (multiplicity 4)
4 La 0.200 0.750 0.648 (multiplicity 4)
5 Bi 0.173 0.008 0.921 (multiplicity 8)
6 Os 0.013 0.250 0.424 (multiplicity 4)


La3BiOs | PBE | relaxed

Cell lengths 8.472, 4.598, 8.820 Å; angles 90.00, 115.07, 90.00 degrees
Space group P2_1/m (No. 11)
One atom of each set of equivalent atoms:
1 La 0.037 0.250 0.238 (multiplicity 2)
2 La 0.329 0.250 0.896 (multiplicity 2)
3 La 0.349 0.750 0.586 (multiplicity 2)
4 Bi 0.308 0.750 0.181 (multiplicity 2)
5 Os 0.087 0.250 0.565 (multiplicity 2)

Computed properties:
- offset from the most stable computed form (meV per atom) = 97


LaBi2Os2 | PBE | relaxed

Cell lengths 4.767, 4.767, 10.829 Å; angles 90.00, 90.00, 90.00 degrees
Space group I4/mmm (No. 139)
One atom of each set of equivalent atoms:
1 La 0.000 0.000 0.000 (multiplicity 2)
2 Bi 0.000 0.500 0.250 (multiplicity 4)
3 Os 0.000 0.000 0.392 (multiplicity 4)


Quick rundown of DOS at the Fermi energy, same order as above: 0.93; 1.16; 0.84 states/eV/atom
Quick rundown of uncorrected energy, same order as above: -6.133; -6.444; -6.859 eV/atom
Quick rundown of energy of formation, same order as above: -66; -45; 17 kJ per mole of atoms